Sc2BeAgH (PBE-GGA, optimized geometry); final energy = -4.69 eV per atom
1.0
4.6483 0.0000 0.0000
0.0000 4.6483 0.0000
0.0000 0.0000 3.3959
Sc Be Ag H
2 1 1 1
direct
0.0000 0.5000 0.0000
0.5000 0.0000 0.0000
0.0000 0.0000 0.5000
0.5000 0.5000 0.5000
0.0000 0.0000 0.0000